Record 1
VASP calculation (PBE-GGA) on Sc3TcSn after structural relaxation.

Unit cell a=5.270 b=5.270 c=5.270 alpha=90.00 beta=90.00 gamma=90.00
Positions (direct):
Sc 0.000 0.000 0.500
Sc 0.000 0.500 0.000
Sc 0.500 0.000 0.000
Tc 0.500 0.500 0.500
Sn 0.000 0.000 0.000

The calculation puts the electronic total energy at -28.5 eV/cell. The value obtained for the magnetic moment is 0.5 μB/cell. As for the formation energy: 0.980 eV per atom. As for the space group: No. 221.

Record 2
VASP calculation (PBE-GGA) on La2CoAg after structural relaxation.

Unit cell a=3.639 b=3.555 c=7.678 alpha=90.00 beta=96.68 gamma=90.00
Positions (direct):
La 0.067 0.000 0.284
La 0.933 0.000 0.716
Co 0.500 0.500 0.500
Ag 0.500 0.500 0.000

The calculation puts the electronic total energy at -20.4 eV/cell. The value obtained for the magnetic moment is 0.0 μB/cell. As for the formation energy: -0.136 eV per atom. As for the space group: No. 10.

Record 3
VASP calculation (PBE-GGA) on Pm2PrY6Ho2 after structural relaxation.

Unit cell a=6.677 b=6.677 c=10.682 alpha=90.03 beta=90.03 gamma=129.25
Positions (direct):
Pm 0.135 0.865 0.000
Pm 0.865 0.135 0.000
Pr 0.500 0.500 0.500
Y 0.000 0.000 0.289
Y 0.000 0.000 0.711
Y 0.346 0.653 0.790
Y 0.347 0.654 0.210
Y 0.653 0.346 0.790
Y 0.654 0.347 0.210
Ho 0.203 0.797 0.500
Ho 0.797 0.203 0.500

The calculation puts the electronic total energy at -60.5 eV/cell. The value obtained for the magnetic moment is 0.0 μB/cell. As for the formation energy: 0.153 eV per atom. As for the space group: No. 12.

Record 4
VASP calculation (PBE-GGA) on CuPdO2 after structural relaxation.

Unit cell a=3.854 b=3.854 c=3.854 alpha=60.00 beta=60.00 gamma=60.00
Positions (direct):
Cu 0.000 0.000 0.000
Pd 0.500 0.500 0.500
O 0.250 0.250 0.250
O 0.750 0.750 0.750

The calculation puts the electronic total energy at -18.5 eV/cell. The value obtained for the magnetic moment is 0.0 μB/cell. As for the space group: No. 225. The value obtained for the formation energy (no corrections) is 0.7 eV/f.u.